# 1
Material: CaTaBe2
Method: DFT, PBE
State: relaxed

Cell and atoms, written as extended XYZ:
```
4
Lattice="0.000 3.183 3.183 3.183 0.000 3.183 3.183 3.183 0.000" Properties=species:S:1:pos:R:3 pbc="T T T"
Be 1.592 1.592 1.592
Be 4.775 4.775 4.775
Ca 0.000 0.000 0.000
Ta 3.183 3.183 3.183
```

Calculated values
Energy of formation   0.59 eV per atom
Spin magnetization   0.0 μB/f.u.
Space group   No. 225
ρ   6.15 g/cm³
Offset from the most stable computed form   0.3422 eV/atom

=====

# 2
Material: CaTa2Be
Method: DFT, PBE
State: relaxed

Cell and atoms, written as extended XYZ:
```
4
Lattice="-4.316 2.677 -3.072 -5.575 1.972 -0.515 -0.536 4.738 1.043" Properties=species:S:1:pos:R:3 pbc="T T T"
Be -7.820 7.040 -1.908
Ca -2.607 2.347 -0.636
Ta -0.897 4.736 0.865
Ta -4.853 4.695 -1.094
```

Calculated values
Energy of formation   0.42 eV per atom
Spin magnetization   0.0 μB/f.u.
Space group   No. 12
ρ   9.13 g/cm³